[1]
## Ba2CdAg6 (GGA-PBE)

Data for a relaxed structure of Ba2CdAg6.

```
Ba2CdAg6
1.0
1.579 5.552 -2.897
-4.724 -0.116 4.403
4.272 1.192 4.614
Ba Cd Ag
2 1 6
Direct
0.667 0.333 0.843
0.333 0.667 0.157
0.000 0.000 0.000
0.361 0.180 0.339
0.820 0.639 0.339
0.820 0.180 0.339
0.639 0.820 0.661
0.180 0.361 0.661
0.180 0.820 0.661
```

Properties
crystal system: trigonal


[2]
## BaCd3Ag (GGA-PBE)

Data for a relaxed structure of BaCd3Ag.

```
BaCd3Ag
1.0
6.250 0.160 0.000
2.437 5.757 0.000
0.000 0.000 8.062
Ba Cd Ag
2 6 2
Direct
0.036 0.239 0.052
0.524 0.727 0.552
0.159 0.362 0.552
0.401 0.604 0.052
0.541 0.222 0.802
0.541 0.222 0.302
0.020 0.743 0.302
0.020 0.743 0.802
0.895 0.097 0.552
0.666 0.869 0.052
```

Properties
energy above the most stable polymorph in this dataset: 10 meV/atom
crystal system: orthorhombic


[3]
## Ba3Cd7Ag4 (GGA-PBE)

Data for a relaxed structure of Ba3Cd7Ag4.

```
Ba3Cd7Ag4
1.0
-4.629 1.479 -0.562
-5.158 -6.460 4.196
-2.796 2.688 8.817
Ba Cd Ag
3 7 4
Direct
0.303 0.196 0.199
0.697 0.804 0.801
0.000 0.500 0.500
0.327 0.825 0.520
0.499 0.203 0.799
0.858 0.367 0.918
0.673 0.175 0.480
0.142 0.633 0.082
0.000 0.000 0.000
0.501 0.797 0.201
0.661 0.468 0.211
0.339 0.532 0.789
0.877 0.910 0.337
0.123 0.090 0.663
```

Properties
crystal system: monoclinic


[4]
## Ba6CdAg3 (GGA-PBE)

Data for a relaxed structure of Ba6CdAg3.

```
Ba6CdAg3
1.0
-3.876 -0.504 -2.756
7.568 -3.306 -10.040
-4.242 -12.392 8.229
Ba Cd Ag
12 2 6
Direct
0.750 0.481 0.609
0.250 0.519 0.391
0.750 0.840 0.093
0.250 0.160 0.907
0.750 0.438 0.097
0.250 0.562 0.903
0.750 0.748 0.319
0.250 0.252 0.681
0.750 0.108 0.429
0.250 0.892 0.571
0.750 0.837 0.800
0.250 0.163 0.200
0.750 0.076 0.720
0.250 0.924 0.280
0.750 0.342 0.853
0.250 0.658 0.147
0.750 0.693 0.531
0.250 0.307 0.469
0.750 0.069 0.024
0.250 0.931 0.976
```

Properties
crystal system: monoclinic


[5]
## Ba5Cd5Ag2 (GGA-PBE)

Data for a relaxed structure of Ba5Cd5Ag2.

```
Ba5Cd5Ag2
1.0
-1.359 4.189 -1.894
-8.647 -1.766 -3.767
-4.866 4.629 7.661
Ba Cd Ag
5 5 2
Direct
0.000 0.500 0.500
0.695 0.697 0.914
0.380 0.929 0.312
0.620 0.071 0.688
0.305 0.303 0.086
0.709 0.233 0.348
0.934 0.308 0.824
0.066 0.692 0.176
0.291 0.767 0.652
0.000 0.000 0.000
0.388 0.466 0.759
0.612 0.534 0.241
```

Properties
crystal system: monoclinic


[6]
## BaCdAg2 (GGA-PBE)

Data for a relaxed structure of BaCdAg2.

```
BaCdAg2
1.0
6.649 0.000 0.000
0.000 7.679 0.000
0.000 0.000 8.703
Ba Cd Ag
4 4 8
Direct
0.354 0.250 0.036
0.854 0.750 0.464
0.646 0.750 0.964
0.146 0.250 0.536
0.652 0.250 0.375
0.152 0.750 0.125
0.348 0.750 0.625
0.848 0.250 0.875
0.916 0.062 0.170
0.416 0.938 0.330
0.084 0.562 0.830
0.584 0.438 0.670
0.084 0.938 0.830
0.584 0.062 0.670
0.916 0.438 0.170
0.416 0.562 0.330
```

Properties
crystal system: orthorhombic


[7]
## BaCd2Ag (GGA-PBE)

Data for a relaxed structure of BaCd2Ag.

```
BaCd2Ag
1.0
5.613 -0.017 -0.056
-2.582 6.119 0.096
0.449 1.117 3.591
Ba Ag Cd
1 1 2
Direct
0.500 0.500 0.000
0.000 0.500 0.500
0.000 0.000 0.000
0.500 0.000 0.500
```

Properties
crystal system: monoclinic


[8]
## Ba3Cd8Ag3 (GGA-PBE)

Data for a relaxed structure of Ba3Cd8Ag3.

```
Ba3Cd8Ag3
1.0
-3.032 -1.259 -3.781
-6.632 -5.406 3.802
-7.797 5.027 1.263
Ba Cd Ag
3 8 3
Direct
0.500 0.500 0.500
0.818 0.182 0.182
0.182 0.818 0.818
0.618 0.098 0.666
0.382 0.902 0.334
0.618 0.666 0.098
0.382 0.334 0.902
0.823 0.821 0.533
0.177 0.179 0.467
0.823 0.533 0.821
0.177 0.467 0.179
0.500 0.000 0.000
0.000 0.771 0.229
0.000 0.229 0.771
```

Properties
crystal system: orthorhombic


| no. | uncorrected energy (eV per atom) |
| --- | --- |
| 1 | -2.5912 |
| 2 | -1.7438 |
| 3 | -1.9404 |
| 4 | -2.2821 |
| 5 | -1.9332 |
| 6 | -2.3617 |
| 7 | -1.6050 |
| 8 | -1.7954 |